A plane-wave DFT calculation with PBE-GGA was carried out for Sc2IrCl after structural relaxation.

## Properties
Energy relative to the elements, uncorrected = -2.7 eV/f.u.
Total DFT energy (no corrections) = -6.517 eV per atom
Relative energy among the computed polymorphs = 486 meV/atom
Space-group type = I-42d (122)

Cell lengths 6.7949, 6.7949, 6.1216 Å; angles 56.29, 56.29, 90.00 degrees
Sites, in units of the cell vectors:
Sc 0.6318 0.1250 0.2500
Sc 0.1182 0.6250 0.2500
Sc 0.3750 0.3682 0.7500
Sc 0.8750 0.8818 0.7500
Ir 0.0000 0.0000 0.0000
Ir 0.7500 0.2500 0.5000
Cl 0.5000 0.5000 0.0000
Cl 0.2500 0.7500 0.5000